A plane-wave DFT calculation with PBE-GGA was carried out for crystalline ZrRhW2 at its relaxed geometry.

Geometry as POSCAR:
```
ZrRhW2
1.0
7.584 0.000 0.000
0.000 7.584 0.000
3.792 3.792 2.589
W Zr Rh
4 2 2
direct
0.091 0.625 0.250
0.375 0.341 0.750
0.875 0.909 0.750
0.659 0.125 0.250
0.500 0.500 0.000
0.250 0.750 0.500
0.750 0.250 0.500
0.000 0.000 0.000
```

Output
The calculated volume is 148.9 Å³/cell. Its excess energy over the best structure of this formula in the dataset is 647 meV per atom.

---

A plane-wave DFT calculation with PBE-GGA was carried out for crystalline ZrRhW at its relaxed geometry.

Geometry as POSCAR:
```
ZrRhW
1.0
-0.297 -2.861 -0.456
1.979 1.517 -1.505
4.829 -1.304 5.037
Rh Zr W
1 1 1
direct
0.000 0.000 0.014
0.667 0.333 0.676
0.333 0.667 0.310
```

Output
The calculated volume is 52.1 Å³/cell. Its excess energy over the best structure of this formula in the dataset is 446 meV per atom.

---

A plane-wave DFT calculation with PBE-GGA was carried out for crystalline ZrRhW at its relaxed geometry.

Geometry as POSCAR:
```
ZrRhW
1.0
-1.403 -0.994 2.460
-0.761 -4.733 -1.400
5.547 -2.932 3.623
W Zr Rh
2 2 2
direct
0.800 0.253 0.529
0.200 0.747 0.471
0.483 0.817 0.829
0.517 0.183 0.171
0.114 0.347 0.832
0.886 0.653 0.168
```

Output
The calculated volume is 104.9 Å³/cell. Its excess energy over the best structure of this formula in the dataset is 111 meV per atom.

---

A plane-wave DFT calculation with PBE-GGA was carried out for crystalline ZrRhW2 at its relaxed geometry.

Geometry as POSCAR:
```
ZrRhW2
1.0
4.417 0.000 0.000
0.000 4.417 0.000
0.000 0.000 3.463
Zr W Rh
1 2 1
direct
0.500 0.000 0.500
0.000 0.000 0.000
0.500 0.500 0.000
0.000 0.500 0.500
```

Output
The calculated volume is 67.6 Å³/cell. Its excess energy over the best structure of this formula in the dataset is 333 meV per atom.

---

A plane-wave DFT calculation with PBE-GGA was carried out for crystalline ZrRhW2 at its relaxed geometry.

Geometry as POSCAR:
```
ZrRhW2
1.0
4.969 0.001 0.006
4.170 2.702 0.006
0.822 0.243 5.121
W Zr Rh
2 1 1
direct
0.021 0.021 0.028
0.262 0.262 0.214
0.483 0.483 0.539
0.734 0.734 0.719
```

Output
The calculated volume is 68.7 Å³/cell. Its excess energy over the best structure of this formula in the dataset is 216 meV per atom.

---

A plane-wave DFT calculation with PBE-GGA was carried out for crystalline ZrRh3W at its relaxed geometry.

Geometry as POSCAR:
```
ZrRh3W
1.0
-4.339 1.762 0.011
-1.139 -2.826 3.556
1.344 3.292 3.047
Rh W Zr
3 1 1
direct
0.000 0.000 0.500
0.000 0.500 0.000
0.500 0.000 0.000
0.000 0.000 0.000
0.500 0.500 0.500
```

Output
The calculated volume is 102.7 Å³/cell. Its excess energy over the best structure of this formula in the dataset is 0 meV per atom.

---

A plane-wave DFT calculation with PBE-GGA was carried out for crystalline ZrRhW2 at its relaxed geometry.

Geometry as POSCAR:
```
ZrRhW2
1.0
-0.946 -2.547 -1.866
0.438 -2.677 3.431
-4.490 0.794 1.193
Zr Rh W
1 1 2
direct
0.500 0.000 0.500
0.000 0.500 0.500
0.000 0.000 0.000
0.500 0.500 0.000
```

Output
The calculated volume is 67.9 Å³/cell. Its excess energy over the best structure of this formula in the dataset is 37 meV per atom.

---

A plane-wave DFT calculation with PBE-GGA was carried out for crystalline ZrRhW at its relaxed geometry.

Geometry as POSCAR:
```
ZrRhW
1.0
6.353 -0.031 0.032
5.680 2.847 0.041
0.674 0.148 2.874
Rh Zr W
1 1 1
direct
0.987 0.987 0.013
0.664 0.664 0.336
0.349 0.349 0.651
```

Output
The calculated volume is 52.4 Å³/cell. Its excess energy over the best structure of this formula in the dataset is 209 meV per atom.

---

A plane-wave DFT calculation with PBE-GGA was carried out for crystalline Zr4RhW at its relaxed geometry.

Geometry as POSCAR:
```
Zr4RhW
1.0
5.065 -2.065 -1.015
2.989 -2.199 4.144
0.856 -5.493 0.201
Zr W Rh
4 1 1
direct
0.375 0.375 0.375
0.375 0.875 0.375
0.875 0.375 0.375
0.375 0.375 0.875
0.000 0.000 0.000
0.750 0.750 0.750
```

Output
The calculated volume is 121.7 Å³/cell.

---

A plane-wave DFT calculation with PBE-GGA was carried out for crystalline ZrRhW at its relaxed geometry.

Geometry as POSCAR:
```
ZrRhW
1.0
-3.392 2.841 1.105
-0.932 -4.012 -1.958
-0.361 -2.450 5.192
W Zr Rh
2 2 2
direct
0.000 0.000 0.469
0.333 0.667 0.610
0.333 0.667 0.129
0.667 0.333 0.778
0.667 0.333 0.282
0.000 0.000 0.964
```

Output
The calculated volume is 103.6 Å³/cell. Its excess energy over the best structure of this formula in the dataset is 104 meV per atom.

---

A plane-wave DFT calculation with PBE-GGA was carried out for crystalline ZrRhW2 at its relaxed geometry.

Geometry as POSCAR:
```
ZrRhW2
1.0
5.308 0.010 0.000
-2.583 4.637 0.000
0.000 0.000 2.774
Rh Zr W
1 1 2
direct
0.000 0.500 0.500
0.500 0.000 0.500
0.500 0.500 0.000
0.000 0.000 0.000
```

Output
The calculated volume is 68.3 Å³/cell. Its excess energy over the best structure of this formula in the dataset is 309 meV per atom.

---

A plane-wave DFT calculation with PBE-GGA was carried out for crystalline ZrRhW at its relaxed geometry.

Geometry as POSCAR:
```
ZrRhW
1.0
4.579 0.000 0.000
-2.289 3.965 0.000
0.000 0.000 2.909
Zr W Rh
1 1 1
direct
0.333 0.667 0.667
0.667 0.333 0.167
0.000 0.000 0.166
```

Output
The calculated volume is 52.8 Å³/cell. Its excess energy over the best structure of this formula in the dataset is 399 meV per atom.

---

A plane-wave DFT calculation with PBE-GGA was carried out for crystalline Zr6Rh5W at its relaxed geometry.

Geometry as POSCAR:
```
Zr6Rh5W
1.0
-3.868 -1.041 -2.400
2.977 1.935 -5.637
2.805 -6.945 3.035
Zr W Rh
6 1 5
direct
0.500 0.249 0.000
0.166 0.416 0.332
0.834 0.084 0.668
0.834 0.584 0.668
0.166 0.916 0.332
0.500 0.751 0.000
0.000 0.000 0.000
0.330 0.330 0.660
0.670 0.670 0.340
0.000 0.500 0.000
0.334 0.834 0.668
0.666 0.166 0.332
```

Output
The calculated volume is 217.2 Å³/cell.

---

A plane-wave DFT calculation with PBE-GGA was carried out for crystalline YRh at its relaxed geometry.

Geometry as POSCAR:
```
YRh
1.0
5.635 0.000 0.000
0.000 5.635 0.000
0.000 0.000 5.608
Rh Y
4 4
direct
0.796 0.796 0.000
0.704 0.296 0.500
0.204 0.204 0.000
0.296 0.704 0.500
0.217 0.217 0.500
0.717 0.283 0.000
0.783 0.783 0.500
0.283 0.717 0.000
```

Output
The calculated volume is 178.0 Å³/cell.

---

A plane-wave DFT calculation with PBE-GGA was carried out for crystalline YRh at its relaxed geometry.

Geometry as POSCAR:
```
YRh
1.0
-4.304 -0.747 0.212
-1.591 -2.793 2.966
-2.315 1.499 3.394
Y Rh
1 1
direct
0.250 0.250 0.250
0.000 0.000 0.000
```

Output
The calculated volume is 59.1 Å³/cell.

---

A plane-wave DFT calculation with PBE-GGA was carried out for crystalline YRh3 at its relaxed geometry.

Geometry as POSCAR:
```
YRh3
1.0
4.952 0.000 0.000
1.575 4.694 0.000
-3.263 -2.347 2.891
Y Rh
1 3
direct
0.250 0.750 0.500
0.000 0.000 0.000
0.500 0.500 0.000
0.750 0.250 0.500
```

Output
The calculated volume is 67.2 Å³/cell.

---

A plane-wave DFT calculation with PBE-GGA was carried out for crystalline Y3Rh5 at its relaxed geometry.

Geometry as POSCAR:
```
Y3Rh5
1.0
3.695 -4.441 0.000
3.695 4.441 0.000
0.000 0.000 4.489
Rh Y
5 3
direct
0.000 0.500 0.000
0.280 0.280 0.500
0.500 0.000 0.000
0.720 0.720 0.500
0.000 0.000 0.000
0.500 0.500 0.000
0.210 0.790 0.500
0.790 0.210 0.500
```

Output
The calculated volume is 147.4 Å³/cell.

---

A plane-wave DFT calculation with PBE-GGA was carried out for crystalline Y4Rh5 at its relaxed geometry.

Geometry as POSCAR:
```
Y4Rh5
1.0
-4.684 4.684 2.087
4.684 -4.684 2.087
4.684 4.684 -2.087
Y Rh
4 5
direct
0.284 0.000 0.284
0.000 0.716 0.716
0.000 0.284 0.284
0.716 0.000 0.716
0.663 0.337 0.000
0.337 0.663 0.000
0.337 0.337 0.674
0.000 0.000 0.000
0.663 0.663 0.326
```

Output
The calculated volume is 183.2 Å³/cell. Its excess energy over the best structure of this formula in the dataset is 0 meV per atom.

---

A plane-wave DFT calculation with PBE-GGA was carried out for crystalline Y4Rh5 at its relaxed geometry.

Geometry as POSCAR:
```
Y4Rh5
1.0
8.277 0.000 0.000
4.139 7.168 0.000
0.000 0.000 5.995
Rh Y
10 8
direct
0.296 0.000 0.750
0.704 0.296 0.750
0.000 0.704 0.750
0.333 0.333 0.500
0.667 0.667 0.000
0.000 0.296 0.250
0.704 0.000 0.250
0.333 0.333 0.000
0.296 0.704 0.250
0.667 0.667 0.500
0.620 0.380 0.250
0.620 0.000 0.750
0.000 0.620 0.250
0.000 0.380 0.750
0.380 0.620 0.750
0.000 0.000 0.500
0.380 0.000 0.250
0.000 0.000 0.000
```

Output
The calculated volume is 355.7 Å³/cell. Its excess energy over the best structure of this formula in the dataset is 17 meV per atom.

---

A plane-wave DFT calculation with PBE-GGA was carried out for crystalline Y4Rh at its relaxed geometry.

Geometry as POSCAR:
```
Y4Rh
1.0
5.422 0.000 0.000
0.000 5.422 0.000
0.000 0.000 5.422
Y Rh
4 1
direct
0.000 0.500 0.500
0.500 0.000 0.500
0.000 0.000 0.000
0.500 0.500 0.000
0.500 0.500 0.500
```

Output
The calculated volume is 159.4 Å³/cell. Its excess energy over the best structure of this formula in the dataset is 130 meV per atom.

---

no.,DFT formation energy (kJ/mol of atoms)
1,51.05
2,8.45
3,-23.88
4,20.70
5,9.50
6,70.38
7,-7.78
8,-14.38
9,59.74
10,-24.48
11,18.46
12,3.98
13,-61.88
14,-54.06
15,10.36
16,-36.78
17,-60.07
18,-59.71
19,-58.07
20,-21.24